(1)
## AgTe2Pt (PBE)

Data for a relaxed structure of AgTe2Pt.

Cell lengths 8.4793, 8.4793, 8.4793 Å; angles 27.79, 27.79, 27.79 degrees
Closest atoms and distances in Å follow each position.
Fractional coordinates of all 4 atoms:
Pt1 0.5000 0.5000 0.5000  6 Te 2.73
Te1 0.8899 0.8899 0.8899  1 Ag 2.69, 3 Pt 2.73
Te2 0.1101 0.1101 0.1101  1 Ag 2.69, 3 Pt 2.73
Ag1 0.0000 0.0000 0.0000  2 Te 2.69

Computed properties:
Its space-group type is R-3m. For the energy relative to the elements, uncorrected, the calculation gives -0.11 eV per atom. Its density of states at the Fermi level is 3.2 states/eV per cell. Its total magnetization is 0.0 μB per cell. The crystal system is trigonal.

(2)
## Ag2TePt2 (PBE)

Data for a relaxed structure of Ag2TePt2.

Cell lengths 7.9161, 7.9161, 3.0215 Å; angles 90.00, 90.00, 90.00 degrees
Closest atoms and distances in Å follow each position.
Fractional coordinates of all 10 atoms:
Pt1 0.8298 0.3298 0.5000  6 Ag 2.73-2.81, 2 Pt 3.02
Pt2 0.1702 0.6702 0.5000  6 Ag 2.73-2.81, 2 Pt 3.02
Pt3 0.3298 0.1702 0.5000  6 Ag 2.73-2.81, 2 Pt 3.02
Pt4 0.6702 0.8298 0.5000  6 Ag 2.73-2.81, 2 Pt 3.02
Te1 0.0000 0.0000 0.0000  2 Te 3.02, 4 Ag 3.12, 8 Pt 3.30
Te2 0.5000 0.5000 0.0000  2 Te 3.02, 4 Ag 3.12, 8 Pt 3.30
Ag1 0.3735 0.8735 0.0000  6 Pt 2.73-2.81, 3 Ag 2.83-3.02
Ag2 0.1265 0.3735 0.0000  6 Pt 2.73-2.81, 3 Ag 2.83-3.02
Ag3 0.8735 0.6265 0.0000  6 Pt 2.73-2.81, 3 Ag 2.83-3.02
Ag4 0.6265 0.1265 0.0000  6 Pt 2.73-2.81, 3 Ag 2.83-3.02

Computed properties:
Its space-group type is P4/mbm. For the energy relative to the elements, uncorrected, the calculation gives 0.22 eV per atom. As for the offset from the most stable computed form: 0.154 eV/atom. Its density of states at the Fermi level is 4.0 states/eV per cell. Its total magnetization is 0.0 μB per cell. The crystal system is tetragonal.

(3)
## AgTe2Pt (PBE)

Data for a relaxed structure of AgTe2Pt.

Cell lengths 5.3499, 5.3497, 3.0647 Å; angles 90.00, 90.00, 89.97 degrees
Closest atoms and distances in Å follow each position.
Fractional coordinates of all 4 atoms:
Te1 0.5000 0.5000 0.0000  2 Te 3.06, 4 Ag 3.08, 4 Pt 3.08
Te2 0.0000 0.0000 0.0000  2 Te 3.06, 4 Pt 3.08, 4 Ag 3.08
Ag1 0.5000 0.0000 0.5000  2 Ag 3.06, 8 Te 3.08
Pt1 0.0000 0.5000 0.5000  2 Pt 3.06, 8 Te 3.08

Computed properties:
Its space-group type is P4/mmm. For the energy relative to the elements, uncorrected, the calculation gives 0.20 eV per atom. Its density of states at the Fermi level is 1.5 states/eV per cell. Its total magnetization is 0.0 μB per cell. The crystal system is tetragonal.

(4)
## AgTe2Pt (PBE)

Data for a relaxed structure of AgTe2Pt.

Cell lengths 11.3996, 11.3996, 11.3996 Å; angles 15.75, 15.75, 15.75 degrees
Closest atoms and distances in Å follow each position.
Fractional coordinates of all 4 atoms:
Pt1 0.0000 0.0000 0.0000  2 Te 2.60
Ag1 0.5000 0.5000 0.5000  6 Ag 3.12
Te1 0.0770 0.0770 0.0770  1 Pt 2.60
Te2 0.9230 0.9230 0.9230  1 Pt 2.60

Computed properties:
Its space-group type is R-3m. For the energy relative to the elements, uncorrected, the calculation gives 0.26 eV per atom. Its density of states at the Fermi level is 1.8 states/eV per cell. Its total magnetization is 0.0 μB per cell. The crystal system is trigonal.